w) Computed, not measured: a relaxed structure of RbCrTc2 at the PBE level of DFT.

Cell and atoms, written as CIF:
```
data_RbCrTc2
_space_group_name_H-M_alt 'P 1'
_space_group_IT_number 1
_cell_length_a 5.0984
_cell_length_b 5.0984
_cell_length_c 8.6294
_cell_angle_alpha 72.82
_cell_angle_beta 72.82
_cell_angle_gamma 90.00
loop_
_space_group_symop_operation_xyz
'x,y,z'
loop_
_atom_site_label
_atom_site_fract_x
_atom_site_fract_y
_atom_site_fract_z
_atom_site_occupancy
Cr1 0.5000 0.5000 0.0000 1
Cr2 0.2500 0.7500 0.5000 1
Tc1 0.3750 0.1250 0.2500 1
Tc2 0.3750 0.6250 0.2500 1
Tc3 0.3750 0.6250 0.7500 1
Tc4 0.8750 0.6250 0.7500 1
Rb1 0.0000 0.0000 0.0000 1
Rb2 0.7500 0.2500 0.5000 1
```

## Properties
**Crystal system**: tetragonal
**Total magnetization**: 0.00 μB/atom
**Space-group type**: No. 141

x) Computed, not measured: a relaxed structure of RbCrTc2 at the PBE level of DFT.

Cell and atoms, written as CIF:
```
data_RbCrTc2
_space_group_name_H-M_alt 'P 1'
_space_group_IT_number 1
_cell_length_a 4.5342
_cell_length_b 4.5342
_cell_length_c 4.5342
_cell_angle_alpha 60.00
_cell_angle_beta 60.00
_cell_angle_gamma 60.00
loop_
_space_group_symop_operation_xyz
'x,y,z'
loop_
_atom_site_label
_atom_site_fract_x
_atom_site_fract_y
_atom_site_fract_z
_atom_site_occupancy
Cr1 0.0000 0.0000 0.0000 1
Tc1 0.2500 0.2500 0.2500 1
Tc2 0.7500 0.7500 0.7500 1
Rb1 0.5000 0.5000 0.5000 1
```

## Properties
**Crystal system**: cubic
**Total magnetization**: 0.00 μB/atom
**Space-group type**: No. 225

Short version: w), x), most stable first.

w) Computed, not measured: a relaxed structure of RbCr2Te4 at the PBE level of DFT.

Cell and atoms, written as CIF:
```
data_RbCr2Te4
_space_group_name_H-M_alt 'P 1'
_space_group_IT_number 1
_cell_length_a 4.0315
_cell_length_b 4.0315
_cell_length_c 14.6369
_cell_angle_alpha 82.08
_cell_angle_beta 82.08
_cell_angle_gamma 60.00
loop_
_space_group_symop_operation_xyz
'x,y,z'
loop_
_atom_site_label
_atom_site_fract_x
_atom_site_fract_y
_atom_site_fract_z
_atom_site_occupancy
Cr1 0.4316 0.4316 0.7053 1
Cr2 0.5684 0.5684 0.2947 1
Te1 0.1316 0.1316 0.6051 1
Te2 0.2692 0.2692 0.1925 1
Te3 0.7308 0.7308 0.8075 1
Te4 0.8684 0.8684 0.3949 1
Rb1 0.0000 0.0000 0.0000 1
```

## Properties
**Crystal system**: trigonal
**Total magnetization**: 0.78 μB/atom
**Space-group type**: No. 166

x) Computed, not measured: a relaxed structure of RbCr2Te4 at the PBE level of DFT.

Cell and atoms, written as CIF:
```
data_RbCr2Te4
_space_group_name_H-M_alt 'P 1'
_space_group_IT_number 1
_cell_length_a 4.0186
_cell_length_b 7.2204
_cell_length_c 14.5450
_cell_angle_alpha 90.00
_cell_angle_beta 90.00
_cell_angle_gamma 106.16
loop_
_space_group_symop_operation_xyz
'x,y,z'
loop_
_atom_site_label
_atom_site_fract_x
_atom_site_fract_y
_atom_site_fract_z
_atom_site_occupancy
Rb1 0.6042 0.2083 0.7500 1
Rb2 0.3958 0.7917 0.2500 1
Cr1 0.1336 0.2672 0.4370 1
Cr2 0.8664 0.7328 0.9370 1
Cr3 0.1336 0.2672 0.0630 1
Cr4 0.8664 0.7328 0.5630 1
Te1 0.7599 0.5197 0.0964 1
Te2 0.7599 0.5197 0.4036 1
Te3 0.2401 0.4803 0.9036 1
Te4 0.2401 0.4803 0.5964 1
Te5 0.8992 0.7983 0.7500 1
Te6 0.1008 0.2017 0.2500 1
Te7 0.5000 0.0000 0.0000 1
Te8 0.5000 0.0000 0.5000 1
```

## Properties
**Crystal system**: orthorhombic
**Total magnetization**: 0.77 μB/atom
**Space-group type**: No. 63

Short version: w), x), most stable first.

w) Computed, not measured: a relaxed structure of Rb2CrTe2 at the PBE level of DFT.

Cell and atoms, written as CIF:
```
data_Rb2CrTe2
_space_group_name_H-M_alt 'P 1'
_space_group_IT_number 1
_cell_length_a 10.5412
_cell_length_b 10.5412
_cell_length_c 3.4910
_cell_angle_alpha 90.00
_cell_angle_beta 90.00
_cell_angle_gamma 90.00
loop_
_space_group_symop_operation_xyz
'x,y,z'
loop_
_atom_site_label
_atom_site_fract_x
_atom_site_fract_y
_atom_site_fract_z
_atom_site_occupancy
Cr1 0.0000 0.0000 0.0000 1
Cr2 0.5000 0.5000 0.0000 1
Te1 0.1750 0.6750 0.5000 1
Te2 0.6750 0.8250 0.5000 1
Te3 0.8250 0.3250 0.5000 1
Te4 0.3250 0.1750 0.5000 1
Rb1 0.3761 0.8761 0.0000 1
Rb2 0.8761 0.6239 0.0000 1
Rb3 0.6239 0.1239 0.0000 1
Rb4 0.1239 0.3761 0.0000 1
```

## Properties
**Crystal system**: tetragonal
**Total magnetization**: 1.05 μB/atom
**Space-group type**: No. 127

x) Computed, not measured: a relaxed structure of Rb2CrTe2 at the PBE level of DFT.

Cell and atoms, written as CIF:
```
data_Rb2CrTe2
_space_group_name_H-M_alt 'P 1'
_space_group_IT_number 1
_cell_length_a 4.5476
_cell_length_b 4.5476
_cell_length_c 11.2169
_cell_angle_alpha 78.30
_cell_angle_beta 78.30
_cell_angle_gamma 90.00
loop_
_space_group_symop_operation_xyz
'x,y,z'
loop_
_atom_site_label
_atom_site_fract_x
_atom_site_fract_y
_atom_site_fract_z
_atom_site_occupancy
Cr1 0.0000 0.0000 0.0000 1
Te1 0.7500 0.2500 0.5000 1
Te2 0.2500 0.7500 0.5000 1
Rb1 0.3862 0.3862 0.2275 1
Rb2 0.6138 0.6138 0.7725 1
```

## Properties
**Crystal system**: tetragonal
**Total magnetization**: 1.03 μB/atom
**Space-group type**: No. 139

Short version: w), x), most stable first.

w) Computed, not measured: a relaxed structure of RbTiCr2 at the PBE level of DFT.

Cell and atoms, written as CIF:
```
data_RbTiCr2
_space_group_name_H-M_alt 'P 1'
_space_group_IT_number 1
_cell_length_a 5.0496
_cell_length_b 5.0496
_cell_length_c 5.0496
_cell_angle_alpha 60.00
_cell_angle_beta 60.00
_cell_angle_gamma 60.00
loop_
_space_group_symop_operation_xyz
'x,y,z'
loop_
_atom_site_label
_atom_site_fract_x
_atom_site_fract_y
_atom_site_fract_z
_atom_site_occupancy
Cr1 0.2500 0.2500 0.2500 1
Cr2 0.7500 0.7500 0.7500 1
Rb1 0.5000 0.5000 0.5000 1
Ti1 0.0000 0.0000 0.0000 1
```

## Properties
**Crystal system**: cubic
**Total magnetization**: 1.63 μB/atom
**Space-group type**: No. 225

x) Computed, not measured: a relaxed structure of RbTiCr2 at the PBE level of DFT.

Cell and atoms, written as CIF:
```
data_RbTiCr2
_space_group_name_H-M_alt 'P 1'
_space_group_IT_number 1
_cell_length_a 5.5171
_cell_length_b 5.5171
_cell_length_c 9.3489
_cell_angle_alpha 72.84
_cell_angle_beta 72.84
_cell_angle_gamma 90.00
loop_
_space_group_symop_operation_xyz
'x,y,z'
loop_
_atom_site_label
_atom_site_fract_x
_atom_site_fract_y
_atom_site_fract_z
_atom_site_occupancy
Cr1 0.3752 0.1250 0.2500 1
Cr2 0.3748 0.6250 0.2500 1
Cr3 0.3750 0.6248 0.7500 1
Cr4 0.8750 0.6252 0.7500 1
Rb1 0.0000 0.0000 0.0000 1
Rb2 0.7500 0.2500 0.5000 1
Ti1 0.5000 0.5000 0.0000 1
Ti2 0.2500 0.7500 0.5000 1
```

## Properties
**Crystal system**: tetragonal
**Total magnetization**: 1.62 μB/atom
**Space-group type**: No. 141

Short version: w), x), most stable first.

w) Computed, not measured: a relaxed structure of RbTiCr3 at the PBE level of DFT.

Cell and atoms, written as CIF:
```
data_RbTiCr3
_space_group_name_H-M_alt 'P 1'
_space_group_IT_number 1
_cell_length_a 4.8635
_cell_length_b 4.8635
_cell_length_c 4.8635
_cell_angle_alpha 90.00
_cell_angle_beta 90.00
_cell_angle_gamma 90.00
loop_
_space_group_symop_operation_xyz
'x,y,z'
loop_
_atom_site_label
_atom_site_fract_x
_atom_site_fract_y
_atom_site_fract_z
_atom_site_occupancy
Cr1 0.0000 0.5000 0.0000 1
Cr2 0.0000 0.0000 0.5000 1
Cr3 0.5000 0.0000 0.0000 1
Rb1 0.0000 0.0000 0.0000 1
Ti1 0.5000 0.5000 0.5000 1
```

## Properties
**Crystal system**: cubic
**Total magnetization**: 1.84 μB/atom
**Space-group type**: No. 221

x) Computed, not measured: a relaxed structure of RbTiCr3 at the PBE level of DFT.

Cell and atoms, written as CIF:
```
data_RbTiCr3
_space_group_name_H-M_alt 'P 1'
_space_group_IT_number 1
_cell_length_a 4.9760
_cell_length_b 4.9760
_cell_length_c 4.9760
_cell_angle_alpha 90.00
_cell_angle_beta 90.00
_cell_angle_gamma 90.00
loop_
_space_group_symop_operation_xyz
'x,y,z'
loop_
_atom_site_label
_atom_site_fract_x
_atom_site_fract_y
_atom_site_fract_z
_atom_site_occupancy
Cr1 0.0000 0.5000 0.0000 1
Cr2 0.0000 0.0000 0.5000 1
Cr3 0.5000 0.0000 0.0000 1
Rb1 0.5000 0.5000 0.5000 1
Ti1 0.0000 0.0000 0.0000 1
```

## Properties
**Crystal system**: cubic
**Total magnetization**: 2.17 μB/atom
**Space-group type**: No. 221

Short version: x), w), most stable first.

w) Computed, not measured: a relaxed structure of RbTl3Cr at the PBE level of DFT.

Cell and atoms, written as CIF:
```
data_RbTl3Cr
_space_group_name_H-M_alt 'P 1'
_space_group_IT_number 1
_cell_length_a 5.4024
_cell_length_b 5.4024
_cell_length_c 5.4024
_cell_angle_alpha 90.00
_cell_angle_beta 90.00
_cell_angle_gamma 90.00
loop_
_space_group_symop_operation_xyz
'x,y,z'
loop_
_atom_site_label
_atom_site_fract_x
_atom_site_fract_y
_atom_site_fract_z
_atom_site_occupancy
Cr1 0.0000 0.0000 0.0000 1
Tl1 0.0000 0.5000 0.0000 1
Tl2 0.0000 0.0000 0.5000 1
Tl3 0.5000 0.0000 0.0000 1
Rb1 0.5000 0.5000 0.5000 1
```

## Properties
**Crystal system**: cubic
**Total magnetization**: 0.40 μB/atom
**Space-group type**: No. 221

x) Computed, not measured: a relaxed structure of RbTl3Cr at the PBE level of DFT.

Cell and atoms, written as CIF:
```
data_RbTl3Cr
_space_group_name_H-M_alt 'P 1'
_space_group_IT_number 1
_cell_length_a 6.2887
_cell_length_b 6.2887
_cell_length_c 6.2887
_cell_angle_alpha 90.00
_cell_angle_beta 90.00
_cell_angle_gamma 90.00
loop_
_space_group_symop_operation_xyz
'x,y,z'
loop_
_atom_site_label
_atom_site_fract_x
_atom_site_fract_y
_atom_site_fract_z
_atom_site_occupancy
Cr1 0.5000 0.5000 0.5000 1
Tl1 0.0000 0.5000 0.0000 1
Tl2 0.0000 0.0000 0.5000 1
Tl3 0.5000 0.0000 0.0000 1
Rb1 0.0000 0.0000 0.0000 1
```

## Properties
**Crystal system**: cubic
**Total magnetization**: 0.85 μB/atom
**Space-group type**: No. 221

Short version: w), x), most stable first.